# SmYF (PBE, relaxed)
# Total moment (μB/cell): 0.0
# Formation energy (no corrections) (kJ/mol of atoms): -149
# Volume (Å³/cell): 69.62
data_SmYF
_cell_length_a 3.7635
_cell_length_b 3.7635
_cell_length_c 5.6753
_cell_angle_alpha 90.00
_cell_angle_beta 90.00
_cell_angle_gamma 120.00
_space_group_name_H-M_alt 'P 3 m 1'
_space_group_IT_number 156
loop_
_space_group_symop_operation_xyz
'x,y,z'
'-y,x-y,z'
'-x+y,-x,z'
'-y,-x,z'
'-x+y,y,z'
'x,x-y,z'
loop_
_atom_site_label
_atom_site_fract_x
_atom_site_fract_y
_atom_site_fract_z
Sm1 0.0000 0.0000 0.0000
Y1 0.6667 0.3333 0.4939
F1 0.3333 0.6667 0.7358

# Sm2ZnF (PBE, relaxed)
# Total moment (μB/cell): 0.0
# Offset from the most stable computed form (meV per atom): 194
# Formation energy (no corrections) (kJ/mol of atoms): -101
# Volume (Å³/cell): 83.62
data_Sm2ZnF
_cell_length_a 3.289
_cell_length_b 3.289
_cell_length_c 7.732
_cell_angle_alpha 90.00
_cell_angle_beta 90.00
_cell_angle_gamma 90.00
_space_group_name_H-M_alt 'P 4/m m m'
_space_group_IT_number 123
_space_group_name_Hall '-P 4 2'
loop_
_atom_site_label
_atom_site_fract_x
_atom_site_fract_y
_atom_site_fract_z
Sm1 0.000 0.000 0.244
Zn1 0.500 0.500 0.500
F1 0.500 0.500 0.000

# Sm2ZnF8 (PBE, relaxed)
# Total moment (μB/cell): 0.0
# Formation energy (no corrections) (kJ/mol of atoms): -339
# Volume (Å³/cell): 292.13
data_Sm2ZnF8
_cell_length_a 13.541
_cell_length_b 3.554
_cell_length_c 6.188
_cell_angle_alpha 90.00
_cell_angle_beta 101.21
_cell_angle_gamma 90.00
_space_group_name_H-M_alt 'C 1 2/m 1'
_space_group_IT_number 12
loop_
_space_group_symop_operation_xyz
'x,y,z'
'-x,-y,-z'
'-x,y,-z'
'x,-y,z'
'x+1/2,y+1/2,z'
'-x+1/2,-y+1/2,-z'
'-x+1/2,y+1/2,-z'
'x+1/2,-y+1/2,z'
loop_
_atom_site_label
_atom_site_fract_x
_atom_site_fract_y
_atom_site_fract_z
Sm1 0.179 0.000 0.206
Zn1 0.000 0.500 0.500
F1 0.021 0.000 0.320
F2 0.098 0.500 0.037
F3 0.167 0.500 0.486
F4 0.210 0.000 0.840

# Sm2ZnF (PBE, relaxed)
# Total moment (μB/cell): 0.0
# Offset from the most stable computed form (meV per atom): 0
# Formation energy (no corrections) (kJ/mol of atoms): -120
# Volume (Å³/cell): 264.45
data_Sm2ZnF
_cell_length_a 3.8812
_cell_length_b 3.8812
_cell_length_c 20.2711
_cell_angle_alpha 90.00
_cell_angle_beta 90.00
_cell_angle_gamma 120.00
_space_group_name_H-M_alt 'R -3 m'
_space_group_IT_number 166
_space_group_name_Hall '-R 3 2"'
loop_
_atom_site_label
_atom_site_fract_x
_atom_site_fract_y
_atom_site_fract_z
Sm1 0.0000 0.0000 0.2373
Zn1 0.0000 0.0000 0.0000
F1 0.0000 0.0000 0.5000

# SmZrF7 (PBE, relaxed)
# Total moment (μB/cell): 0.3
# Offset from the most stable computed form (meV per atom): 0
# Formation energy (no corrections) (kJ/mol of atoms): -376
# Volume (Å³/cell): 595.14
data_SmZrF7
_cell_length_a 9.266
_cell_length_b 5.841
_cell_length_c 12.440
_cell_angle_alpha 90.00
_cell_angle_beta 117.88
_cell_angle_gamma 90.00
_space_group_name_H-M_alt 'P 1 21/c 1'
_space_group_IT_number 14
loop_
_space_group_symop_operation_xyz
'x,y,z'
'-x,-y,-z'
'-x,y+1/2,-z+1/2'
'x,-y+1/2,z+1/2'
loop_
_atom_site_label
_atom_site_fract_x
_atom_site_fract_y
_atom_site_fract_z
Sm1 0.186 0.243 0.267
Zr1 0.274 0.745 0.045
F1 0.027 0.740 0.943
F2 0.028 0.573 0.734
F3 0.255 0.536 0.170
F4 0.267 0.012 0.148
F5 0.282 0.041 0.452
F6 0.288 0.536 0.423
F7 0.478 0.234 0.359

# SmZrF7 (PBE, relaxed)
# Total moment (μB/cell): 0.1
# Offset from the most stable computed form (meV per atom): 2
# Formation energy (no corrections) (kJ/mol of atoms): -376
# Volume (Å³/cell): 302.82
data_SmZrF7
_cell_length_a 6.215
_cell_length_b 5.919
_cell_length_c 8.445
_cell_angle_alpha 90.00
_cell_angle_beta 102.89
_cell_angle_gamma 90.00
_space_group_name_H-M_alt 'P 1 21 1'
_space_group_IT_number 4
loop_
_space_group_symop_operation_xyz
'x,y,z'
'-x,y+1/2,-z'
loop_
_atom_site_label
_atom_site_fract_x
_atom_site_fract_y
_atom_site_fract_z
Sm1 0.154 0.000 0.189
Zr1 0.315 0.007 0.725
F1 0.037 0.710 0.016
F2 0.074 0.768 0.708
F3 0.097 0.270 0.708
F4 0.268 0.002 0.479
F5 0.359 0.011 0.971
F6 0.438 0.271 0.254
F7 0.443 0.744 0.264

Short version: Fermi-level density of states = 2.329, 3.238, 0.000, 8.000, 0.000, 0.000 states/eV per cell, in the order given.